Density functional theory data (PBE) for HgBi3 after structural relaxation.

Lattice parameters (Å, degrees): 3.3257 4.4742 8.6370 90.00 90.00 90.00
Space group Pmm2 (No. 25)
Symmetry-distinct sites (fractional):
Hg (0.0000, 0.0000, 0.0000) x1
Bi (0.0000, 0.5000, 0.2536) x1
Bi (0.5000, 0.0000, 0.5026) x1
Bi (0.5000, 0.5000, 0.7672) x1

Values from the calculation:
The calculation puts the formation energy from the elements at 0.10 eV/atom. The value obtained for the relative energy among the computed polymorphs is 13 meV per atom. As for the density of states at the Fermi level: 2.56 states/eV per cell.



Density functional theory data (PBE) for Sr3CdAg2 after structural relaxation.

Lattice parameters (Å, degrees): 5.6435 16.9391 3.9438 90.00 90.00 90.00
Space group Cmmm (No. 65)
Symmetry-distinct sites (fractional):
Sr (0.0000, 0.0000, 0.0000) x2
Sr (0.0000, 0.3296, 0.0000) x4
Cd (0.0000, 0.5000, 0.5000) x2
Ag (0.0000, 0.1628, 0.5000) x4

Values from the calculation:
The calculation puts the formation energy from the elements at -0.28 eV/atom. The value obtained for the relative energy among the computed polymorphs is 5 meV per atom. As for the density of states at the Fermi level: 11.30 states/eV per cell.



Density functional theory data (PBE) for CsSbTe2Pd after structural relaxation.

Lattice parameters (Å, degrees): 5.7042 5.7042 5.1596 90.00 90.00 90.00
Space group P4/mmm (No. 123)
Symmetry-distinct sites (fractional):
Cs (0.0000, 0.0000, 0.0000) x1
Sb (0.5000, 0.5000, 0.0000) x1
Te (0.0000, 0.5000, 0.5000) x2
Pd (0.5000, 0.5000, 0.5000) x1

Values from the calculation:
The value obtained for the relative energy among the computed polymorphs is 0 meV per atom. As for the density of states at the Fermi level: 3.94 states/eV per cell. The energy relative to the elements, uncorrected is -4.3 kcal/mol of atoms.



Density functional theory data (PBE) for V3GePd after structural relaxation.

Lattice parameters (Å, degrees): 4.6333 4.6333 4.6333 90.00 90.00 90.00
Space group Pm-3m (No. 221)
Symmetry-distinct sites (fractional):
V (0.0000, 0.0000, 0.5000) x3
Ge (0.5000, 0.5000, 0.5000) x1
Pd (0.0000, 0.0000, 0.0000) x1

Values from the calculation:
The calculation puts the formation energy from the elements at 1.19 eV/atom. The value obtained for the relative energy among the computed polymorphs is 264 meV per atom. As for the density of states at the Fermi level: 8.67 states/eV per cell.



Density functional theory data (PBE) for Sb2TeRhSe after structural relaxation.

Lattice parameters (Å, degrees): 5.3113 5.3113 5.2754 90.00 90.00 90.00
Space group P4/mmm (No. 123)
Symmetry-distinct sites (fractional):
Sb (0.0000, 0.5000, 0.0000) x2
Te (0.0000, 0.0000, 0.5000) x1
Rh (0.5000, 0.5000, 0.5000) x1
Se (0.0000, 0.0000, 0.0000) x1

Values from the calculation:
The value obtained for the relative energy among the computed polymorphs is 705 meV per atom. As for the density of states at the Fermi level: 3.54 states/eV per cell. The energy relative to the elements, uncorrected is 24.4 kcal/mol of atoms.



Density functional theory data (PBE) for AlCo3Mo after structural relaxation.

Lattice parameters (Å, degrees): 4.3789 4.3789 4.3789 90.00 90.00 90.00
Space group Pm-3m (No. 221)
Symmetry-distinct sites (fractional):
Al (0.0000, 0.0000, 0.0000) x1
Co (0.0000, 0.5000, 0.5000) x3
Mo (0.5000, 0.5000, 0.5000) x1

Values from the calculation:
The calculation puts the formation energy from the elements at 1.33 eV/atom. The value obtained for the relative energy among the computed polymorphs is 257 meV per atom. As for the density of states at the Fermi level: 7.02 states/eV per cell.



Question: What is the formula in the third record?
Answer: CsSbTe2Pd



Please write out number 3 again, unchanged.
Density functional theory data (PBE) for CsSbTe2Pd after structural relaxation.

Lattice parameters (Å, degrees): 5.7042 5.7042 5.1596 90.00 90.00 90.00
Space group P4/mmm (No. 123)
Symmetry-distinct sites (fractional):
Cs (0.0000, 0.0000, 0.0000) x1
Sb (0.5000, 0.5000, 0.0000) x1
Te (0.0000, 0.5000, 0.5000) x2
Pd (0.5000, 0.5000, 0.5000) x1

Values from the calculation:
The value obtained for the relative energy among the computed polymorphs is 0 meV per atom. As for the density of states at the Fermi level: 3.94 states/eV per cell. The energy relative to the elements, uncorrected is -4.3 kcal/mol of atoms.